Density functional theory data (GGA-PBE) for a relaxed La2ScZn crystal.

**Total magnetization**: 0.0000 μB per atom
**N(E_F)**: 1.3257 states/eV per atom
**VASP energy**: -4.4986 eV/atom
**Space group**: P4mm, No. 99

a b c (Å): 3.5843 3.5843 8.6790
angles (deg): 90.00 90.00 90.00
Last column: nearest neighbours and their distance in Å.
Atoms (fractional coordinates):
La 0.0000 0.0000 0.0000  4 Zn 3.30, 1 Sc 3.48, 4 La 3.58
La 0.5000 0.5000 0.3222  4 Sc 3.49, 8 La 3.58-3.77, 1 Zn 3.77
Sc 0.0000 0.0000 0.5986  4 Zn 2.88
Zn 0.5000 0.5000 0.7561  4 Sc 2.88